# 1
Computed, not measured: crystalline ZrCr2Ni at its relaxed geometry at the PBE level of DFT.

Unit cell a=3.220 b=4.191 c=4.342 alpha=90.00 beta=90.00 gamma=90.00
Site moments in Bohr magnetons follow the coordinates.
Atoms (fractional coordinates):
Cr 0.000 0.000 0.000  2.51
Cr 0.500 0.500 0.000  -1.58
Ni 0.500 0.000 0.500  0.24
Zr 0.000 0.500 0.500  0.10

Computed properties:
E = -8.2830 eV per atom
ΔE_f = 111 meV/atom
Space group = No. 47

---

# 2
Computed, not measured: crystalline Zr2CrNi9 at its relaxed geometry at the PBE level of DFT.

Unit cell a=3.709 b=3.709 c=11.009 alpha=90.00 beta=90.00 gamma=90.00
Site moments in Bohr magnetons follow the coordinates.
Atoms (fractional coordinates):
Zr 0.000 0.000 0.326  0.00
Zr 0.000 0.000 0.674  0.00
Cr 0.000 0.000 0.000  2.51
Ni 0.500 0.500 0.000  -0.03
Ni 0.500 0.500 0.328  -0.01
Ni 0.500 0.500 0.672  -0.01
Ni 0.500 0.000 0.155  0.03
Ni 0.500 0.000 0.500  -0.01
Ni 0.500 0.000 0.845  0.03
Ni 0.000 0.500 0.155  0.03
Ni 0.000 0.500 0.500  -0.01
Ni 0.000 0.500 0.845  0.03

Computed properties:
E = -6.8280 eV per atom
ΔE_f = -265 meV/atom
Space group = No. 123

---

# 3
Computed, not measured: crystalline ZrCr2Ni at its relaxed geometry at the PBE level of DFT.

Unit cell a=4.365 b=4.365 c=4.365 alpha=60.00 beta=60.00 gamma=60.00
Site moments in Bohr magnetons follow the coordinates.
Atoms (fractional coordinates):
Cr 0.000 0.000 0.000  -1.84
Cr 0.250 0.250 0.250  2.87
Ni 0.500 0.500 0.500  0.39
Zr 0.750 0.750 0.750  0.01

Computed properties:
E = -8.3348 eV per atom
ΔE_f = 59 meV/atom
Space group = No. 216

---

# 4
Computed, not measured: crystalline Zr2CrNi2 at its relaxed geometry at the PBE level of DFT.

Unit cell a=6.378 b=6.378 c=3.927 alpha=90.00 beta=90.00 gamma=90.00
Atoms (fractional coordinates):
Ni 0.369 0.869 0.000
Ni 0.869 0.631 0.000
Ni 0.631 0.131 0.000
Ni 0.131 0.369 0.000
Zr 0.178 0.678 0.500
Zr 0.678 0.822 0.500
Zr 0.822 0.322 0.500
Zr 0.322 0.178 0.500
Cr 0.000 0.000 0.000
Cr 0.500 0.500 0.000

Computed properties:
E = -7.7279 eV per atom
ΔE_f = -71 meV/atom
Space group = No. 127

---

# 5
Computed, not measured: crystalline ZrCr2Ni at its relaxed geometry at the PBE level of DFT.

Unit cell a=3.515 b=3.515 c=9.937 alpha=79.81 beta=79.81 gamma=90.00
Atoms (fractional coordinates):
Ni 0.500 0.500 0.000
Ni 0.250 0.750 0.500
Zr 0.000 0.000 0.000
Zr 0.750 0.250 0.500
Cr 0.610 0.125 0.250
Cr 0.140 0.625 0.250
Cr 0.375 0.390 0.750
Cr 0.875 0.860 0.750

Computed properties:
E = -7.8852 eV per atom
ΔE_f = 509 meV/atom
Space group = No. 122

---

# 6
Computed, not measured: crystalline ZrCr2Ni at its relaxed geometry at the PBE level of DFT.

Unit cell a=2.632 b=2.632 c=8.079 alpha=90.00 beta=90.00 gamma=90.00
Atoms (fractional coordinates):
Cr 0.000 0.000 0.038
Cr 0.000 0.000 0.462
Ni 0.500 0.500 0.250
Zr 0.500 0.500 0.750

Computed properties:
E = -8.0314 eV per atom
ΔE_f = 363 meV/atom
Space group = No. 123

---

# 7
Computed, not measured: crystalline ZrCr2Ni at its relaxed geometry at the PBE level of DFT.

Unit cell a=8.323 b=8.323 c=8.323 alpha=19.86 beta=19.86 gamma=19.86
Atoms (fractional coordinates):
Cr 0.985 0.985 0.985
Cr 0.254 0.254 0.254
Ni 0.510 0.510 0.510
Zr 0.751 0.751 0.751

Computed properties:
E = -8.0441 eV per atom
ΔE_f = 350 meV/atom
Space group = No. 160

---

# 8
Computed, not measured: crystalline ZrCrNi6 at its relaxed geometry at the PBE level of DFT.

Unit cell a=6.341 b=6.341 c=10.379 alpha=90.00 beta=90.00 gamma=109.75
Site moments in Bohr magnetons follow the coordinates.
Atoms (fractional coordinates):
Cr 0.242 0.758 0.750  2.32
Cr 0.758 0.242 0.750  2.32
Cr 0.500 0.500 0.507  2.40
Cr 0.500 0.500 0.993  2.40
Ni 0.255 0.745 0.509  0.00
Ni 0.870 0.615 0.630  -0.04
Ni 0.130 0.385 0.630  -0.04
Ni 0.745 0.255 0.509  0.00
Ni 0.385 0.130 0.630  -0.04
Ni 0.615 0.870 0.630  -0.04
Ni 0.500 0.500 0.250  -0.04
Ni 0.136 0.381 0.381  0.01
Ni 0.381 0.136 0.381  0.01
Ni 0.255 0.745 0.991  0.00
Ni 0.864 0.619 0.119  0.01
Ni 0.136 0.381 0.119  0.01
Ni 0.745 0.255 0.991  0.00
Ni 0.381 0.136 0.119  0.01
Ni 0.619 0.864 0.119  0.01
Ni 0.500 0.500 0.750  -0.08
Ni 0.130 0.385 0.870  -0.04
Ni 0.385 0.130 0.870  -0.04
Ni 0.000 0.000 0.250  -0.01
Ni 0.619 0.864 0.381  0.01
Ni 0.864 0.619 0.381  0.01
Ni 0.000 0.000 0.750  0.02
Ni 0.615 0.870 0.870  -0.04
Ni 0.870 0.615 0.870  -0.04
Zr 0.246 0.754 0.250  -0.01
Zr 0.754 0.246 0.250  -0.01
Zr 0.000 0.000 0.504  -0.03
Zr 0.000 0.000 0.996  -0.03

Computed properties:
E = -6.7971 eV per atom
ΔE_f = -190 meV/atom
Space group = No. 65

---

# 9
Computed, not measured: crystalline ZrCr2Ni at its relaxed geometry at the PBE level of DFT.

Unit cell a=4.512 b=2.961 c=4.394 alpha=82.32 beta=90.00 gamma=90.00
Atoms (fractional coordinates):
Cr 0.000 0.073 0.981
Cr 0.000 0.427 0.519
Ni 0.500 0.250 0.250
Zr 0.500 0.750 0.750

Computed properties:
E = -8.0847 eV per atom
ΔE_f = 309 meV/atom
Space group = No. 10

---

# 10
Computed, not measured: crystalline Np4Cr at its relaxed geometry at the PBE level of DFT.

Unit cell a=4.966 b=4.966 c=4.966 alpha=90.00 beta=90.00 gamma=90.00
Site moments in Bohr magnetons follow the coordinates.
Atoms (fractional coordinates):
Np 0.000 0.000 0.000  4.29
Np 0.500 0.000 0.500  3.58
Np 0.000 0.500 0.500  3.58
Np 0.500 0.500 0.000  3.58
Cr 0.500 0.500 0.500  -0.53

Computed properties:
E = -11.2660 eV per atom
ΔE_f = 1011 meV/atom
Space group = No. 221

---

# 11
Computed, not measured: crystalline NpCr4 at its relaxed geometry at the PBE level of DFT.

Unit cell a=4.419 b=4.419 c=4.419 alpha=90.00 beta=90.00 gamma=90.00
Site moments in Bohr magnetons follow the coordinates.
Atoms (fractional coordinates):
Np 0.500 0.500 0.500  1.02
Cr 0.000 0.000 0.000  3.57
Cr 0.500 0.000 0.500  -1.10
Cr 0.000 0.500 0.500  -1.10
Cr 0.500 0.500 0.000  -1.10

Computed properties:
E = -8.9902 eV per atom
ΔE_f = 1297 meV/atom
Space group = No. 221